(1)
## ErTm4Pb5 (PBE)

Data for a geometry-optimized ErTm4Pb5 structure.

Cell: 3.5415 3.5415 22.0310 Å, 90.00 90.00 90.00°
Atoms (fractional coordinates):
1 Er 0.0000 0.0000 0.0000
2 Tm 0.0000 0.0000 0.2002
3 Tm 0.0000 0.0000 0.4000
4 Tm 0.0000 0.0000 0.6000
5 Tm 0.0000 0.0000 0.7998
6 Pb 0.5000 0.5000 0.1005
7 Pb 0.5000 0.5000 0.3001
8 Pb 0.5000 0.5000 0.5000
9 Pb 0.5000 0.5000 0.6999
10 Pb 0.5000 0.5000 0.8995

M_tot ... 0.00 μB/cell
E_form ... -3.74 eV/f.u.
Density of states at the Fermi level ... 7.97 states/eV/cell
Energy above the lowest structure with this stoichiometry ... 0 meV/atom

---

(2)
## CsSe3 (PBE)

Data for a geometry-optimized CsSe3 structure.

Cell: 7.6041 7.6053 6.8343 Å, 90.01 90.00 58.97°
Atoms (fractional coordinates):
1 Cs 0.6134 0.6136 0.2500
2 Cs 0.3866 0.3864 0.7500
3 Se 0.3845 0.8967 0.7500
4 Se 0.7385 0.7382 0.7500
5 Se 0.8970 0.3843 0.7500
6 Se 0.6155 0.1033 0.2500
7 Se 0.2615 0.2618 0.2500
8 Se 0.1030 0.6157 0.2500

M_tot ... 0.00 μB/cell
Density of states at the Fermi level ... 5.05 states/eV/cell
Energy above the lowest structure with this stoichiometry ... 0 meV/atom
Formation energy (no corrections) ... -0.46 eV per atom

---

(3)
## Zr2CuSi3Pt4 (PBE)

Data for a geometry-optimized Zr2CuSi3Pt4 structure.

Cell: 4.0372 4.0372 10.1236 Å, 90.00 90.00 90.00°
Atoms (fractional coordinates):
1 Zr 0.5000 0.0000 0.2521
2 Zr 0.0000 0.5000 0.7479
3 Cu 0.5000 0.5000 0.5000
4 Si 0.0000 0.0000 0.5000
5 Si 0.5000 0.0000 0.8625
6 Si 0.0000 0.5000 0.1375
7 Pt 0.5000 0.5000 0.0000
8 Pt 0.0000 0.0000 0.0000
9 Pt 0.5000 0.0000 0.6379
10 Pt 0.0000 0.5000 0.3621

M_tot ... 0.00 μB/cell
Density of states at the Fermi level ... 6.64 states/eV/cell
Formation energy (no corrections) ... -0.80 eV per atom